# Tb2YEr, optimized geometry, DFT GGA-PBE
data_Tb2YEr
_cell_length_a 8.0159
_cell_length_b 8.0159
_cell_length_c 8.0159
_cell_angle_alpha 90.00
_cell_angle_beta 90.00
_cell_angle_gamma 90.00
_symmetry_space_group_name_H-M 'F m -3 m'
_symmetry_Int_Tables_number 225
_symmetry_space_group_name_Hall '-F 4 2 3'
loop_
_atom_site_label
_atom_site_fract_x
_atom_site_fract_y
_atom_site_fract_z
Tb1 0.2500 0.2500 0.2500
Y1 0.0000 0.0000 0.0000
Er1 0.0000 0.0000 0.5000
# Electronic total energy (Ry/atom): -0.363
# DOS at the Fermi energy (states/eV/cell): 39.93
# Total moment (μB per atom): 0.005
# Calculated formation energy (eV/atom): 0.137

---

# Tb12Y6Er, optimized geometry, DFT GGA-PBE
data_Tb12Y6Er
_cell_length_a 13.3627
_cell_length_b 13.3627
_cell_length_c 12.8859
_cell_angle_alpha 90.00
_cell_angle_beta 90.00
_cell_angle_gamma 120.00
_symmetry_space_group_name_H-M 'R -3 m'
_symmetry_Int_Tables_number 166
_symmetry_space_group_name_Hall '-R 3 2"'
loop_
_atom_site_label
_atom_site_fract_x
_atom_site_fract_y
_atom_site_fract_z
Tb1 0.0000 0.3820 0.0000
Tb2 0.0953 0.1906 0.8752
Y1 0.0296 0.5148 0.2165
Er1 0.0000 0.0000 0.5000
# Electronic total energy (Ry/atom): -0.349
# DOS at the Fermi energy (states/eV/cell): 65.49
# Total moment (μB per atom): 0.000
# Calculated formation energy (eV/atom): 0.460

---

# TbY2Er, optimized geometry, DFT GGA-PBE
data_TbY2Er
_cell_length_a 5.0236
_cell_length_b 5.0236
_cell_length_c 5.0293
_cell_angle_alpha 90.00
_cell_angle_beta 90.00
_cell_angle_gamma 90.00
_symmetry_space_group_name_H-M 'P 4/m m m'
_symmetry_Int_Tables_number 123
_symmetry_space_group_name_Hall '-P 4 2'
loop_
_atom_site_label
_atom_site_fract_x
_atom_site_fract_y
_atom_site_fract_z
Tb1 0.0000 0.0000 0.0000
Y1 0.0000 0.5000 0.5000
Er1 0.5000 0.5000 0.0000
# Electronic total energy (Ry/atom): -0.405
# DOS at the Fermi energy (states/eV/cell): 6.00
# Total moment (μB per atom): 0.000
# Calculated formation energy (eV/atom): 0.025